1.
! Li2Bi2As PBE relaxed; values from VASP
! ΔE_f, eV per atom: -0.15
! N(E_F), states/eV per cell: 4.3
&SYSTEM
  ibrav = 0, nat = 10, ntyp = 3
/
ATOMIC_SPECIES
Bi 208.98 Bi.upf
Li 6.94 Li.upf
As 74.92 As.upf
CELL_PARAMETERS angstrom
8.507 0.000 0.000
0.000 8.507 0.000
0.000 0.000 3.257
ATOMIC_POSITIONS crystal
Bi 0.685 0.185 0.000
Bi 0.315 0.815 0.000
Bi 0.185 0.315 0.000
Bi 0.815 0.685 0.000
Li 0.385 0.115 0.500
Li 0.115 0.615 0.500
Li 0.885 0.385 0.500
Li 0.615 0.885 0.500
As 0.500 0.500 0.000
As 0.000 0.000 0.000

=====

2.
! SiBSbMo2 PBE relaxed; values from VASP
! N(E_F), states/eV per cell: 5.7
! Formation energy without anion corrections, eV/atom: 1.987
&SYSTEM
  ibrav = 0, nat = 5, ntyp = 4
/
ATOMIC_SPECIES
Sb 121.76 Sb.upf
Mo 95.94 Mo.upf
Si 28.09 Si.upf
B 10.81 B.upf
CELL_PARAMETERS angstrom
4.558 0.000 0.000
0.000 4.916 0.000
0.000 0.000 4.558
ATOMIC_POSITIONS crystal
Sb 0.000 0.500 0.000
Mo 0.000 0.000 0.500
Mo 0.500 0.000 0.000
Si 0.000 0.000 0.000
B 0.500 0.500 0.500